The following is a PBE calculation of a geometry-optimized Ta2V2GaRu5 structure, from Alexandria. Values from VASP.

The total DFT energy (no corrections) is -9.218 eV per atom.

```
&SYSTEM
  ibrav = 0, nat = 20, ntyp = 4
/
ATOMIC_SPECIES
Ta 180.95 Ta.upf
Ru 101.07 Ru.upf
Ga 69.72 Ga.upf
V 50.94 V.upf
CELL_PARAMETERS angstrom
-1.7500 -2.5265 -1.2526
1.1730 -4.8585 8.1607
-8.0461 3.8605 3.4549
ATOMIC_POSITIONS crystal
Ta 0.0000 0.6741 0.1741
Ta 0.0000 0.1741 0.3259
Ta 0.0000 0.8259 0.6741
Ta 0.0000 0.3259 0.8259
Ru 0.5000 0.2975 0.5619
Ru 0.5000 0.0000 0.5000
Ru 0.5000 0.9381 0.2025
Ru 0.5000 0.4381 0.2975
Ru 0.5000 0.0619 0.7975
Ru 0.5000 0.7025 0.4381
Ru 0.5000 0.2025 0.0619
Ru 0.5000 0.7975 0.9381
Ru 0.5000 0.5619 0.7025
Ru 0.5000 0.5000 0.0000
Ga 0.0000 0.0000 0.0000
Ga 0.0000 0.5000 0.5000
V 0.0000 0.3703 0.1297
V 0.0000 0.8703 0.3703
V 0.0000 0.1297 0.6297
V 0.0000 0.6297 0.8703
```

---

The following is a PBE calculation of a geometry-optimized Tl4Sn3Hg4 structure, from Alexandria. Values from VASP.

The total DFT energy (no corrections) is -1.980 eV per atom.

```
&SYSTEM
  ibrav = 0, nat = 11, ntyp = 3
/
ATOMIC_SPECIES
Hg 200.59 Hg.upf
Tl 204.38 Tl.upf
Sn 118.71 Sn.upf
CELL_PARAMETERS angstrom
-2.8377 1.6344 -0.3321
-5.2430 -8.1918 4.4836
5.2931 7.2116 6.5750
ATOMIC_POSITIONS crystal
Hg 0.3369 0.5426 0.6739
Hg 0.6631 0.4574 0.3261
Hg 0.6631 0.8688 0.3261
Hg 0.3369 0.1312 0.6739
Tl 0.2647 0.7647 0.5295
Tl 0.5000 0.2356 0.0000
Tl 0.7353 0.2353 0.4705
Tl 0.5000 0.7644 0.0000
Sn 0.0829 0.0829 0.1658
Sn 0.9171 0.9171 0.8342
Sn 0.0000 0.5000 0.0000
```

---

Number 1 is which compound? Ta2V2GaRu5